A geometry-optimized TiCrTePS structure, computed with GGA-PBE.

```
TiCrTePS
1.0
-1.705 -4.945 4.716
-0.087 -2.308 -2.451
8.078 -0.332 0.025
S P Cr Te Ti
2 2 2 2 2
Cartesian
3.171 -0.582 0.435
7.166 -1.902 -0.778
3.235 -5.260 2.524
-0.760 -3.940 3.737
5.579 -5.163 2.349
1.583 -3.843 3.562
5.503 -2.569 2.224
1.420 -3.557 0.985
5.548 -0.414 0.192
1.466 -1.402 -1.046
```

Properties
- DOS(E_F): 0.7000 states/eV/atom
- Uncorrected formation energy: -0.572 eV per atom
- Electronic total energy: -6.611 eV per atom
- Total magnetic moment: 0.9 Bohr magnetons per cell
- Symmetry: Cm (8)


A geometry-optimized Pm2Ga5Co2Ag structure, computed with GGA-PBE.

```
Pm2Ga5Co2Ag
1.0
-1.440 -3.623 1.285
3.099 -4.027 -7.878
8.213 -1.794 4.148
Pm Ag Ga Co
4 2 10 4
Cartesian
7.691 -2.741 0.893
8.143 -4.515 -3.601
3.170 -1.306 -0.129
3.622 -3.080 -4.622
5.656 -2.910 -1.865
0.000 0.000 0.000
6.904 -5.360 -0.817
2.968 -4.083 -1.628
3.961 -5.975 -5.848
5.094 -5.480 -3.183
3.386 -2.708 2.717
5.911 -3.468 3.404
9.411 -6.650 -1.643
0.461 -2.793 -0.801
4.778 -3.963 0.739
0.830 -3.825 -3.296
9.201 -4.053 -1.113
2.112 -1.768 -2.617
5.350 -1.537 1.664
5.962 -4.284 -5.394
```

Properties
- DOS(E_F): 0.6435 states/eV/atom
- Electronic total energy: -4.534 eV per atom
- Total magnetic moment: 0.0 Bohr magnetons per cell
- Symmetry: P4/mbm (127)
- E_form: -364 meV per atom


A geometry-optimized TlC5 structure, computed with GGA-PBE.

```
TlC5
1.0
2.489 -4.311 0.000
2.489 4.311 0.000
0.000 0.000 2.560
C Tl
5 1
Cartesian
1.245 -2.156 1.280
1.245 2.156 1.280
2.489 -1.437 0.000
2.489 0.000 1.280
2.489 1.437 0.000
0.000 0.000 0.000
```

Properties
- DOS(E_F): 0.5051 states/eV/atom
- Electronic total energy: -4.804 eV per atom
- Total magnetic moment: 0.0 Bohr magnetons per cell
- Symmetry: P6/mmm (191)
- E_form: 3277 meV per atom


What is the formula in the second record?
Pm2Ga5Co2Ag